No. 1
The following is a DFT calculation (GGA-PBEsol) of a relaxed TlCl5 crystal.

## Properties
Volume   22.12 Å³/atom
Energy above the lowest structure with this stoichiometry   432.1 meV/atom

POSCAR file:
```
TlCl5
1.0
0.000 4.049 4.049
4.049 0.000 4.049
4.049 4.049 0.000
Tl Cl
1 5
Direct
0.000 0.000 0.000
0.128 0.624 0.624
0.250 0.250 0.250
0.624 0.128 0.624
0.624 0.624 0.128
0.624 0.624 0.624
```

***

No. 2
The following is a DFT calculation (GGA-PBEsol) of a relaxed MgSb4Pb crystal.

## Properties
Volume   28.53 Å³/atom
Final energy   -22.8 eV for the cell shown

POSCAR file:
```
MgSb4Pb
1.0
0.000 4.407 4.407
4.407 0.000 4.407
4.407 4.407 0.000
Mg Sb Pb
1 4 1
Direct
0.000 0.000 0.000
0.375 0.375 0.375
0.375 0.375 0.874
0.375 0.874 0.375
0.874 0.375 0.375
0.750 0.750 0.750
```

***

Q: Which theoretical density values were calculated for the entries above? A: 4.77 6.97, in g cm⁻³.